Entry from Alexandria via LeMat-Bulk: an optimized crystal structure of NaAc2Pm3Se6 (PBE-GGA).

Cell and atoms, written as POSCAR:
```
NaAc2Pm3Se6
1.0
7.4138 -0.0070 -0.0039
-3.7112 6.4180 -0.0039
-1.2387 -2.1447 7.1134
Na Ac Pm Se
1 2 3 6
direct
0.0000 0.0000 0.0000
0.3342 0.6658 0.0000
0.6658 0.3342 0.0000
0.1656 0.8344 0.5000
0.8344 0.1656 0.5000
0.5000 0.5000 0.5000
0.9129 0.5867 0.7378
0.7619 0.7619 0.2594
0.0871 0.4133 0.2622
0.5867 0.9129 0.7378
0.2381 0.2381 0.7406
0.4133 0.0871 0.2622
```

Properties
As for the uncorrected formation energy: -174 kJ per mole of atoms.

Entry from Alexandria via LeMat-Bulk: an optimized crystal structure of DyY4ErS8 (PBE-GGA).

Cell and atoms, written as POSCAR:
```
DyY4ErS8
1.0
-2.6903 5.1903 5.5337
-6.4189 4.5951 -1.5756
-6.9661 -1.3874 3.7696
Dy Y Er S
1 4 1 8
direct
0.3753 0.3753 0.8741
0.6246 0.6246 0.1263
0.9999 0.5003 0.4999
0.5003 0.9999 0.4999
0.9999 0.9999 0.4999
0.0000 0.0000 0.0001
0.2405 0.7732 0.7458
0.7732 0.2405 0.7458
0.2405 0.2405 0.7458
0.2430 0.2430 0.2709
0.7599 0.2259 0.2543
0.2259 0.7599 0.2543
0.7599 0.7599 0.2543
0.7572 0.7572 0.7285
```

Properties
As for the uncorrected formation energy: -187 kJ per mole of atoms.

Entry from Alexandria via LeMat-Bulk: an optimized crystal structure of AlIn2Fe (PBE-GGA).

Cell and atoms, written as POSCAR:
```
AlIn2Fe
1.0
-3.8800 -0.5164 0.1490
0.3773 -3.3640 -1.8330
0.6868 -4.1233 3.5922
Al Fe In
1 1 2
direct
0.0000 0.6929 0.4892
0.5000 0.5515 0.7732
0.0000 0.9747 0.9218
0.5000 0.2809 0.3159
```

Properties
For the formation energy from the elements, the calculation gives 0.78 eV/f.u.

Entry from Alexandria via LeMat-Bulk: an optimized crystal structure of GdLuGaTc (PBE-GGA).

Cell and atoms, written as POSCAR:
```
GdLuGaTc
1.0
-4.4051 -2.1685 0.2852
-1.4136 -3.1647 -3.4893
-0.3160 -4.8016 1.0167
Gd Lu Tc Ga
1 1 1 1
direct
0.5000 0.5000 0.5000
0.0000 0.0000 0.0000
0.7500 0.7500 0.7500
0.2500 0.2500 0.2500
```

Properties
For the formation energy from the elements, the calculation gives -0.99 eV/f.u.

Entry from Alexandria via LeMat-Bulk: an optimized crystal structure of CsNb2HO6 (PBE-GGA).

Cell and atoms, written as POSCAR:
```
CsNb2HO6
1.0
7.1067 -1.2380 -1.2847
1.0637 8.2677 -2.5698
1.0637 -2.8745 8.1667
Cs Nb H O
2 4 2 12
direct
0.2500 0.7818 0.2182
0.7500 0.2182 0.7818
0.3805 0.7061 0.6471
0.1195 0.3529 0.2939
0.6195 0.2939 0.3529
0.8805 0.6471 0.7061
0.2500 0.9716 0.0284
0.7500 0.0284 0.9716
0.3260 0.8333 0.9001
0.1740 0.0999 0.1667
0.6740 0.1667 0.0999
0.8260 0.9001 0.8333
0.4248 0.8703 0.5931
0.0752 0.4069 0.1297
0.5752 0.1297 0.4069
0.9248 0.5931 0.8703
0.1158 0.6277 0.5702
0.3842 0.4298 0.3723
0.8842 0.3723 0.4298
0.6158 0.5702 0.6277
```

Entry from Alexandria via LeMat-Bulk: an optimized crystal structure of LaSiHg2 (PBE-GGA).

Cell and atoms, written as POSCAR:
```
LaSiHg2
1.0
-2.4731 1.0653 -2.6430
-1.0906 -3.5213 0.8046
-4.4514 2.5668 5.1999
Hg La Si
2 1 1
direct
0.0000 0.0000 0.9760
0.5000 0.5000 0.2228
0.0000 0.0000 0.5252
0.5000 0.5000 0.7759
```

Properties
As for the uncorrected formation energy: -11 kJ per mole of atoms.

Entry from Alexandria via LeMat-Bulk: an optimized crystal structure of InHgPb2 (PBE-GGA).

Cell and atoms, written as POSCAR:
```
InHgPb2
1.0
3.6685 0.0000 0.0000
0.0000 3.6685 0.0000
0.0000 0.0000 8.6116
In Hg Pb
1 1 2
direct
0.0000 0.0000 0.5146
0.5000 0.5000 0.7407
0.0000 0.0000 0.9868
0.5000 0.5000 0.2579
```

Properties
As for the energy above the most stable polymorph in this dataset: 0.005 eV per atom. For the formation energy from the elements, the calculation gives 0.04 eV/f.u.

Entry from Alexandria via LeMat-Bulk: an optimized crystal structure of ReAgBr2 (PBE-GGA).

Cell and atoms, written as POSCAR:
```
ReAgBr2
1.0
0.0000 3.3524 3.3524
3.3524 0.0000 3.3524
3.3524 3.3524 0.0000
Re Br Ag
1 2 1
direct
0.5000 0.5000 0.5000
0.2500 0.2500 0.2500
0.7500 0.7500 0.7500
0.0000 0.0000 0.0000
```

Properties
As for the uncorrected formation energy: 113 kJ per mole of atoms. As for the energy above the most stable polymorph in this dataset: 0.730 eV per atom.

| no. | raw total energy (eV for the cell shown) | calculated volume (Å³ per cell) |
| --- | --- | --- |
| 1 | -66.28 | 338.2 |
| 2 | -95.19 | 368.2 |
| 3 | -16.90 | 77.7 |
| 4 | -32.98 | 84.1 |
| 5 | -152.28 | 456.7 |
| 6 | -11.42 | 101.4 |
| 7 | -10.42 | 115.9 |
| 8 | -13.97 | 75.4 |